## one
Here is a relaxed structure of Ti3ZnPb from the Alexandria database. Energies are from PBE.

Unit cell a=5.115 b=5.115 c=5.115 alpha=90.00 beta=90.00 gamma=90.00
Fractional coordinates of all 5 atoms:
1 Ti 0.000 0.000 0.500
2 Ti 0.000 0.500 0.000
3 Ti 0.500 0.000 0.000
4 Zn 0.500 0.500 0.500
5 Pb 0.000 0.000 0.000

=====

## two
Here is a relaxed structure of Ti3ZnPb from the Alexandria database. Energies are from PBE.

Unit cell a=6.464 b=6.464 c=5.231 alpha=90.00 beta=90.00 gamma=120.00
Fractional coordinates of all 10 atoms:
1 Ti 0.194 0.387 0.250
2 Ti 0.194 0.806 0.250
3 Ti 0.387 0.194 0.750
4 Ti 0.613 0.806 0.250
5 Ti 0.806 0.194 0.750
6 Ti 0.806 0.613 0.750
7 Zn 0.000 0.000 0.000
8 Zn 0.000 0.000 0.500
9 Pb 0.333 0.667 0.750
10 Pb 0.667 0.333 0.250

=====

two has the most favorable energy; the next structure is 1.101 eV/atom above.

=====

## one
Here is a relaxed structure of Ti3ZnPb from the Alexandria database. Energies are from PBE.

Unit cell a=4.704 b=4.704 c=4.704 alpha=90.00 beta=90.00 gamma=90.00
Fractional coordinates of all 5 atoms:
1 Ti 0.000 0.000 0.500
2 Ti 0.000 0.500 0.000
3 Ti 0.500 0.000 0.000
4 Zn 0.000 0.000 0.000
5 Pb 0.500 0.500 0.500

=====

## two
Here is a relaxed structure of Ti3ZnPb from the Alexandria database. Energies are from PBE.

Unit cell a=7.876 b=7.876 c=5.287 alpha=90.00 beta=90.00 gamma=142.27
Fractional coordinates of all 10 atoms:
1 Ti 0.000 0.000 0.000
2 Ti 0.000 0.000 0.500
3 Ti 0.094 0.394 0.250
4 Ti 0.394 0.094 0.750
5 Ti 0.606 0.906 0.250
6 Ti 0.906 0.606 0.750
7 Zn 0.478 0.522 0.750
8 Zn 0.522 0.478 0.250
9 Pb 0.173 0.827 0.250
10 Pb 0.827 0.173 0.750

=====

two has the most favorable energy; the next structure is 0.235 eV/atom above.

=====

## one
Here is a relaxed structure of Ti2ZnPb2 from the Alexandria database. Energies are from PBE.

Unit cell a=7.023 b=7.023 c=4.274 alpha=90.00 beta=90.00 gamma=90.00
Fractional coordinates of all 10 atoms:
1 Ti 0.140 0.360 0.000
2 Ti 0.360 0.860 0.000
3 Ti 0.640 0.140 0.000
4 Ti 0.860 0.640 0.000
5 Zn 0.000 0.000 0.000
6 Zn 0.500 0.500 0.000
7 Pb 0.169 0.669 0.500
8 Pb 0.331 0.169 0.500
9 Pb 0.669 0.831 0.500
10 Pb 0.831 0.331 0.500

=====

## two
Here is a relaxed structure of Ti2ZnPb2 from the Alexandria database. Energies are from PBE.

Unit cell a=8.265 b=8.265 c=3.230 alpha=90.00 beta=90.00 gamma=90.00
Fractional coordinates of all 10 atoms:
1 Ti 0.120 0.380 0.000
2 Ti 0.380 0.880 0.000
3 Ti 0.620 0.120 0.000
4 Ti 0.880 0.620 0.000
5 Zn 0.000 0.000 0.500
6 Zn 0.500 0.500 0.500
7 Pb 0.175 0.675 0.500
8 Pb 0.325 0.175 0.500
9 Pb 0.675 0.825 0.500
10 Pb 0.825 0.325 0.500

=====

one has the most favorable energy; the next structure is 0.186 eV/atom above.

=====

## one
Here is a relaxed structure of Zr2Ti2Pb from the Alexandria database. Energies are from PBE.

Unit cell a=7.647 b=7.647 c=3.734 alpha=90.00 beta=90.00 gamma=90.00
Fractional coordinates of all 10 atoms:
1 Zr 0.135 0.365 0.000
2 Zr 0.365 0.865 0.000
3 Zr 0.635 0.135 0.000
4 Zr 0.865 0.635 0.000
5 Ti 0.163 0.663 0.500
6 Ti 0.337 0.163 0.500
7 Ti 0.663 0.837 0.500
8 Ti 0.837 0.337 0.500
9 Pb 0.000 0.000 0.000
10 Pb 0.500 0.500 0.000

=====

## two
Here is a relaxed structure of Zr2Ti2Pb from the Alexandria database. Energies are from PBE.

Unit cell a=7.360 b=7.360 c=3.898 alpha=90.00 beta=90.00 gamma=90.00
Fractional coordinates of all 10 atoms:
1 Zr 0.170 0.330 0.000
2 Zr 0.330 0.830 0.000
3 Zr 0.670 0.170 0.000
4 Zr 0.830 0.670 0.000
5 Ti 0.127 0.627 0.500
6 Ti 0.373 0.127 0.500
7 Ti 0.627 0.873 0.500
8 Ti 0.873 0.373 0.500
9 Pb 0.000 0.000 0.500
10 Pb 0.500 0.500 0.500

=====

two has the most favorable energy; the next structure is 0.194 eV/atom above.

=====

## one
Here is a relaxed structure of ZrTi3Pb from the Alexandria database. Energies are from PBE.

Unit cell a=9.818 b=3.175 c=13.061 alpha=90.00 beta=90.00 gamma=90.00
Fractional coordinates of all 20 atoms:
1 Zr 0.132 0.250 0.013
2 Zr 0.368 0.750 0.513
3 Zr 0.632 0.250 0.487
4 Zr 0.868 0.750 0.987
5 Ti 0.073 0.750 0.791
6 Ti 0.101 0.250 0.608
7 Ti 0.165 0.750 0.202
8 Ti 0.335 0.250 0.702
9 Ti 0.399 0.750 0.108
10 Ti 0.427 0.250 0.291
11 Ti 0.573 0.750 0.709
12 Ti 0.601 0.250 0.892
13 Ti 0.665 0.750 0.298
14 Ti 0.835 0.250 0.798
15 Ti 0.899 0.750 0.392
16 Ti 0.927 0.250 0.209
17 Pb 0.148 0.250 0.389
18 Pb 0.352 0.750 0.889
19 Pb 0.648 0.250 0.111
20 Pb 0.852 0.750 0.611

=====

## two
Here is a relaxed structure of ZrTi3Pb from the Alexandria database. Energies are from PBE.

Unit cell a=5.067 b=5.067 c=5.067 alpha=90.00 beta=90.00 gamma=90.00
Fractional coordinates of all 5 atoms:
1 Zr 0.000 0.000 0.000
2 Ti 0.000 0.500 0.500
3 Ti 0.500 0.000 0.500
4 Ti 0.500 0.500 0.000
5 Pb 0.500 0.500 0.500

=====

one has the most favorable energy; the next structure is 1.150 eV/atom above.

=====

## one
Here is a relaxed structure of ZrTiPb from the Alexandria database. Energies are from PBE.

Unit cell a=5.682 b=5.682 c=5.682 alpha=123.33 beta=114.88 gamma=91.70
Fractional coordinates of all 6 atoms:
1 Zr 0.358 0.108 0.250
2 Zr 0.642 0.892 0.750
3 Ti 0.000 0.000 0.500
4 Ti 0.000 0.500 0.000
5 Pb 0.000 0.500 0.500
6 Pb 0.500 0.500 0.000

=====

## two
Here is a relaxed structure of ZrTiPb from the Alexandria database. Energies are from PBE.

Unit cell a=4.072 b=4.072 c=7.908 alpha=90.00 beta=90.00 gamma=90.00
Fractional coordinates of all 6 atoms:
1 Zr 0.250 0.250 0.145
2 Zr 0.750 0.750 0.855
3 Ti 0.250 0.750 0.500
4 Ti 0.750 0.250 0.500
5 Pb 0.250 0.250 0.763
6 Pb 0.750 0.750 0.237

=====

two has the most favorable energy; the next structure is 0.138 eV/atom above.

=====

## one
Here is a relaxed structure of Zr3TiPb from the Alexandria database. Energies are from PBE.

Unit cell a=4.988 b=4.988 c=4.988 alpha=90.00 beta=90.00 gamma=90.00
Fractional coordinates of all 5 atoms:
1 Zr 0.000 0.000 0.500
2 Zr 0.000 0.500 0.000
3 Zr 0.500 0.000 0.000
4 Ti 0.000 0.000 0.000
5 Pb 0.500 0.500 0.500

=====

## two
Here is a relaxed structure of Zr3TiPb from the Alexandria database. Energies are from PBE.

Unit cell a=5.339 b=5.339 c=5.339 alpha=90.00 beta=90.00 gamma=90.00
Fractional coordinates of all 5 atoms:
1 Zr 0.000 0.000 0.500
2 Zr 0.000 0.500 0.000
3 Zr 0.500 0.000 0.000
4 Ti 0.500 0.500 0.500
5 Pb 0.000 0.000 0.000

=====

## three
Here is a relaxed structure of Zr3TiPb from the Alexandria database. Energies are from PBE.

Unit cell a=8.202 b=8.202 c=6.291 alpha=108.04 beta=108.04 gamma=33.93
Fractional coordinates of all 10 atoms:
1 Zr 0.106 0.106 0.377
2 Zr 0.107 0.107 0.879
3 Zr 0.286 0.286 0.759
4 Zr 0.714 0.714 0.241
5 Zr 0.893 0.893 0.121
6 Zr 0.894 0.894 0.623
7 Ti 0.288 0.288 0.256
8 Ti 0.712 0.712 0.744
9 Pb 0.500 0.500 0.000
10 Pb 0.500 0.500 0.500

=====

three has the most favorable energy; the next structure is 0.647 eV/atom above.

=====

## one
Here is a relaxed structure of TlPb5 from the Alexandria database. Energies are from PBE.

Unit cell a=8.072 b=8.072 c=4.805 alpha=90.00 beta=90.00 gamma=142.90
Fractional coordinates of all 6 atoms:
1 Tl 0.000 0.000 0.000
2 Pb 0.167 0.833 0.500
3 Pb 0.332 0.668 0.000
4 Pb 0.500 0.500 0.500
5 Pb 0.668 0.332 0.000
6 Pb 0.833 0.167 0.500

=====

## two
Here is a relaxed structure of TlPb5 from the Alexandria database. Energies are from PBE.

Unit cell a=3.504 b=3.504 c=17.677 alpha=90.00 beta=90.00 gamma=120.00
Fractional coordinates of all 6 atoms:
1 Tl 0.000 0.000 0.000
2 Pb 0.000 0.000 0.332
3 Pb 0.000 0.000 0.668
4 Pb 0.667 0.333 0.166
5 Pb 0.667 0.333 0.500
6 Pb 0.667 0.333 0.834

=====

## three
Here is a relaxed structure of TlPb5 from the Alexandria database. Energies are from PBE.

Unit cell a=3.621 b=3.621 c=14.349 alpha=90.00 beta=90.00 gamma=90.00
Fractional coordinates of all 6 atoms:
1 Tl 0.000 0.000 0.000
2 Pb 0.000 0.000 0.332
3 Pb 0.000 0.000 0.668
4 Pb 0.500 0.500 0.169
5 Pb 0.500 0.500 0.500
6 Pb 0.500 0.500 0.831

=====

three has the most favorable energy; the next structure is 0.014 eV/atom above.

=====

## one
Here is a relaxed structure of TlPb5 from the Alexandria database. Energies are from PBE.

Unit cell a=5.648 b=9.749 c=9.749 alpha=20.49 beta=90.00 gamma=90.00
Fractional coordinates of all 6 atoms:
1 Tl 0.000 0.000 0.000
2 Pb 0.000 0.335 0.335
3 Pb 0.000 0.669 0.669
4 Pb 0.500 0.105 0.105
5 Pb 0.500 0.440 0.440
6 Pb 0.500 0.774 0.774

=====

## two
Here is a relaxed structure of TlPb5 from the Alexandria database. Energies are from PBE.

Unit cell a=6.193 b=6.193 c=9.628 alpha=113.03 beta=113.03 gamma=34.05
Fractional coordinates of all 6 atoms:
1 Tl 0.000 0.000 0.000
2 Pb 0.000 0.000 0.500
3 Pb 0.330 0.330 0.665
4 Pb 0.335 0.335 0.168
5 Pb 0.665 0.665 0.832
6 Pb 0.670 0.670 0.335

=====

two has the most favorable energy; the next structure is 0.008 eV/atom above.

=====

## one
Here is a relaxed structure of Tl3Pb from the Alexandria database. Energies are from PBE.

Unit cell a=7.062 b=7.062 c=5.722 alpha=90.00 beta=90.00 gamma=120.00
Fractional coordinates of all 8 atoms:
1 Tl 0.169 0.337 0.250
2 Tl 0.169 0.831 0.250
3 Tl 0.337 0.169 0.750
4 Tl 0.663 0.831 0.250
5 Tl 0.831 0.169 0.750
6 Tl 0.831 0.663 0.750
7 Pb 0.333 0.667 0.750
8 Pb 0.667 0.333 0.250

=====

## two
Here is a relaxed structure of Tl3Pb from the Alexandria database. Energies are from PBE.

Unit cell a=7.119 b=7.119 c=11.246 alpha=90.00 beta=90.00 gamma=120.00
Fractional coordinates of all 16 atoms:
1 Tl 0.000 0.500 0.000
2 Tl 0.000 0.500 0.500
3 Tl 0.166 0.332 0.250
4 Tl 0.166 0.834 0.250
5 Tl 0.332 0.166 0.750
6 Tl 0.500 0.000 0.000
7 Tl 0.500 0.000 0.500
8 Tl 0.500 0.500 0.000
9 Tl 0.500 0.500 0.500
10 Tl 0.668 0.834 0.250
11 Tl 0.834 0.166 0.750
12 Tl 0.834 0.668 0.750
13 Pb 0.000 0.000 0.000
14 Pb 0.000 0.000 0.500
15 Pb 0.333 0.667 0.750
16 Pb 0.667 0.333 0.250

=====

## three
Here is a relaxed structure of Tl3Pb from the Alexandria database. Energies are from PBE.

Unit cell a=6.174 b=6.174 c=6.174 alpha=90.00 beta=90.00 gamma=90.00
Fractional coordinates of all 4 atoms:
1 Tl 0.000 0.000 0.500
2 Tl 0.000 0.500 0.000
3 Tl 0.500 0.000 0.000
4 Pb 0.000 0.000 0.000

=====

one has the most favorable energy; the next structure is 0.012 eV/atom above.